No. 1
DFT (PBE) results for SmNpTe6 after structural relaxation.

The structure in CIF format:
```
data_SmNpTe6
_chemical_formula_sum 'Sm2 Np2 Te12'
_symmetry_space_group_name_H-M 'A m m 2'
_symmetry_Int_Tables_number 38
_symmetry_space_group_name_Hall 'A 2 -2'
_cell_length_a 4.379
_cell_length_b 4.378
_cell_length_c 26.633
_cell_angle_alpha 90.00
_cell_angle_beta 90.00
_cell_angle_gamma 90.00
loop_
_atom_site_label
_atom_site_type_symbol
_atom_site_fract_x
_atom_site_fract_y
_atom_site_fract_z
Sm1 Sm 0.000 0.000 0.000
Np1 Np 0.500 0.000 0.658
Te1 Te 0.000 0.000 0.124
Te2 Te 0.000 0.000 0.406
Te3 Te 0.000 0.000 0.748
Te4 Te 0.500 0.000 0.248
Te5 Te 0.500 0.000 0.537
Te6 Te 0.500 0.000 0.906
```

## Properties
Size of the total moment in μB/cell: 7.1
D(E_F) in states/eV per cell: 24.24
Uncorrected formation energy in meV per atom: -750

=====

No. 2
DFT (PBE) results for ZrIrRh2 after structural relaxation.

The structure in CIF format:
```
data_ZrIrRh2
_chemical_formula_sum 'Zr2 Ir2 Rh4'
_symmetry_space_group_name_H-M 'C 1 m 1'
_symmetry_Int_Tables_number 8
_symmetry_space_group_name_Hall 'C -2y'
_cell_length_a 9.299
_cell_length_b 2.909
_cell_length_c 4.800
_cell_angle_alpha 90.00
_cell_angle_beta 100.97
_cell_angle_gamma 90.00
loop_
_atom_site_label
_atom_site_type_symbol
_atom_site_fract_x
_atom_site_fract_y
_atom_site_fract_z
Zr1 Zr 0.000 0.000 0.000
Ir1 Ir 0.251 0.500 0.274
Rh1 Rh 0.248 0.000 0.747
Rh2 Rh 0.498 0.000 0.496
```

## Properties
Size of the total moment in μB/cell: 0.0
Formation energy in eV per atom: -0.407
D(E_F) in states/eV per cell: 8.40

=====

No. 3
DFT (PBE) results for Pr14YIn after structural relaxation.

The structure in CIF format:
```
data_Pr14YIn
_chemical_formula_sum 'Pr14 Y1 In1'
_symmetry_space_group_name_H-M 'P 4/m m m'
_symmetry_Int_Tables_number 123
_symmetry_space_group_name_Hall '-P 4 2'
_cell_length_a 7.320
_cell_length_b 7.320
_cell_length_c 10.396
_cell_angle_alpha 90.00
_cell_angle_beta 90.00
_cell_angle_gamma 90.00
loop_
_atom_site_label
_atom_site_type_symbol
_atom_site_fract_x
_atom_site_fract_y
_atom_site_fract_z
Pr1 Pr 0.000 0.000 0.000
Pr2 Pr 0.000 0.500 0.000
Pr3 Pr 0.000 0.500 0.500
Pr4 Pr 0.247 0.247 0.256
Pr5 Pr 0.500 0.500 0.000
Y1 Y 0.500 0.500 0.500
In1 In 0.000 0.000 0.500
```

## Properties
Size of the total moment in μB/cell: 0.0
Formation energy in eV per atom: -0.045
D(E_F) in states/eV per cell: 20.38

=====

No. 4
DFT (PBE) results for La3Nd2Tl after structural relaxation.

The structure in CIF format:
```
data_La3Nd2Tl
_chemical_formula_sum 'La12 Nd8 Tl4'
_symmetry_space_group_name_H-M 'C 1 2/c 1'
_symmetry_Int_Tables_number 15
_symmetry_space_group_name_Hall '-C 2yc'
_cell_length_a 17.747
_cell_length_b 7.037
_cell_length_c 6.728
_cell_angle_alpha 90.00
_cell_angle_beta 99.86
_cell_angle_gamma 90.00
loop_
_atom_site_label
_atom_site_type_symbol
_atom_site_fract_x
_atom_site_fract_y
_atom_site_fract_z
La1 La 0.000 0.228 0.250
La2 La 0.166 0.119 0.043
Nd1 Nd 0.161 0.397 0.568
Tl1 Tl 0.000 0.286 0.750
```

## Properties
Energy above the lowest structure with this stoichiometry in meV/atom: 0
Size of the total moment in μB/cell: 0.0
Formation energy in eV per atom: -0.087
D(E_F) in states/eV per cell: 30.38

=====

No. 5
DFT (PBE) results for Nd2HoAs after structural relaxation.

The structure in CIF format:
```
data_Nd2HoAs
_chemical_formula_sum 'Nd6 Ho3 As3'
_symmetry_space_group_name_H-M 'R -3 m'
_symmetry_Int_Tables_number 166
_symmetry_space_group_name_Hall '-R 3 2"'
_cell_length_a 3.9854
_cell_length_b 3.9854
_cell_length_c 28.5552
_cell_angle_alpha 90.00
_cell_angle_beta 90.00
_cell_angle_gamma 120.00
loop_
_atom_site_label
_atom_site_type_symbol
_atom_site_fract_x
_atom_site_fract_y
_atom_site_fract_z
Nd1 Nd 0.0000 0.0000 0.2296
Ho1 Ho 0.0000 0.0000 0.0000
As1 As 0.0000 0.0000 0.5000
```

## Properties
Size of the total moment in μB/cell: 3.2
Formation energy in eV per atom: -0.543
D(E_F) in states/eV per cell: 16.25

=====

No. 6
DFT (PBE) results for Mo2AsPBr after structural relaxation.

The structure in CIF format:
```
data_Mo2AsPBr
_chemical_formula_sum 'Mo2 As1 P1 Br1'
_symmetry_space_group_name_H-M 'P 4/m m m'
_symmetry_Int_Tables_number 123
_symmetry_space_group_name_Hall '-P 4 2'
_cell_length_a 4.944
_cell_length_b 4.944
_cell_length_c 4.984
_cell_angle_alpha 90.00
_cell_angle_beta 90.00
_cell_angle_gamma 90.00
loop_
_atom_site_label
_atom_site_type_symbol
_atom_site_fract_x
_atom_site_fract_y
_atom_site_fract_z
Mo1 Mo 0.000 0.500 0.000
As1 As 0.000 0.000 0.000
P1 P 0.500 0.500 0.500
Br1 Br 0.000 0.000 0.500
```

## Properties
Size of the total moment in μB/cell: 4.9
D(E_F) in states/eV per cell: 3.20
Uncorrected formation energy in meV per atom: 1578

=====

No. 7
DFT (PBE) results for K3Sb2Pt4 after structural relaxation.

The structure in CIF format:
```
data_K3Sb2Pt4
_chemical_formula_sum 'K6 Sb4 Pt8'
_symmetry_space_group_name_H-M 'C 1 2/m 1'
_symmetry_Int_Tables_number 12
_symmetry_space_group_name_Hall '-C 2y'
_cell_length_a 12.311
_cell_length_b 4.525
_cell_length_c 9.318
_cell_angle_alpha 90.00
_cell_angle_beta 109.26
_cell_angle_gamma 90.00
loop_
_atom_site_label
_atom_site_type_symbol
_atom_site_fract_x
_atom_site_fract_y
_atom_site_fract_z
K1 K 0.000 0.000 0.000
K2 K 0.126 0.500 0.373
Sb1 Sb 0.181 0.500 0.772
Pt1 Pt 0.085 0.000 0.632
Pt2 Pt 0.239 0.500 0.079
```

## Properties
Size of the total moment in μB/cell: 0.0
D(E_F) in states/eV per cell: 4.85
Uncorrected formation energy in meV per atom: -380

=====

No. 8
DFT (PBE) results for LuNiPdAu after structural relaxation.

The structure in CIF format:
```
data_LuNiPdAu
_chemical_formula_sum 'Lu4 Ni4 Pd4 Au4'
_symmetry_space_group_name_H-M 'F -4 3 m'
_symmetry_Int_Tables_number 216
_symmetry_space_group_name_Hall 'F -4 2 3'
_cell_length_a 6.474
_cell_length_b 6.474
_cell_length_c 6.474
_cell_angle_alpha 90.00
_cell_angle_beta 90.00
_cell_angle_gamma 90.00
loop_
_atom_site_label
_atom_site_type_symbol
_atom_site_fract_x
_atom_site_fract_y
_atom_site_fract_z
Lu1 Lu 0.000 0.000 0.000
Ni1 Ni 0.250 0.250 0.750
Pd1 Pd 0.250 0.250 0.250
Au1 Au 0.000 0.000 0.500
```

## Properties
Size of the total moment in μB/cell: 0.0
Formation energy in eV per atom: -0.567
D(E_F) in states/eV per cell: 6.26